{
  "formula": "Tb4Y7Pu",
  "functional": "PBE",
  "state": "optimized geometry",
  "lattice": [[-3.487, -3.440, -3.226], [-3.748, -6.504, 5.655], [-8.224, 1.080, 2.404]],
  "species": ["Tb", "Tb", "Tb", "Tb", "Y", "Y", "Y", "Y", "Y", "Y", "Y", "Pu"],
  "fractional_positions": [[0.592, 0.540, 0.276], [0.408, 0.460, 0.724], [0.735, 0.732, 0.798], [0.265, 0.268, 0.202], [0.836, 0.337, 0.991], [0.164, 0.663, 0.009], [0.063, 0.284, 0.590], [0.937, 0.716, 0.410], [0.291, 0.887, 0.531], [0.500, 0.000, 0.000], [0.709, 0.113, 0.469], [0.000, 0.000, 0.000]],
  "volume_a3_per_cell": 390,
  "magmom_total_mub_per_fu": 7.49,
  "spacegroup": "C2/m, No. 12",
  "formation_enthalpy_0k_ev_per_fu": 3.0,
  "energy_ev_per_atom": -6.26
}

---

{
  "formula": "Tb4Y9Pu",
  "functional": "PBE",
  "state": "optimized geometry",
  "lattice": [[11.002, 0.000, 0.000], [0.000, 8.473, -4.892], [0.000, 0.000, 9.784]],
  "species": ["Tb", "Tb", "Tb", "Tb", "Tb", "Tb", "Tb", "Tb", "Y", "Y", "Y", "Y", "Y", "Y", "Y", "Y", "Y", "Y", "Y", "Y", "Y", "Y", "Y", "Y", "Y", "Y", "Pu", "Pu"],
  "fractional_positions": [[0.250, 0.113, 0.226], [0.250, 0.113, 0.887], [0.250, 0.774, 0.887], [0.750, 0.887, 0.774], [0.750, 0.887, 0.113], [0.750, 0.226, 0.113], [0.000, 0.000, 0.000], [0.500, 0.000, 0.000], [0.034, 0.790, 0.581], [0.034, 0.790, 0.210], [0.034, 0.419, 0.210], [0.966, 0.210, 0.419], [0.966, 0.210, 0.790], [0.966, 0.581, 0.790], [0.534, 0.210, 0.419], [0.534, 0.210, 0.790], [0.534, 0.581, 0.790], [0.466, 0.790, 0.581], [0.466, 0.790, 0.210], [0.466, 0.419, 0.210], [0.250, 0.463, 0.926], [0.250, 0.463, 0.537], [0.250, 0.074, 0.537], [0.750, 0.537, 0.074], [0.750, 0.537, 0.463], [0.750, 0.926, 0.463], [0.250, 0.667, 0.333], [0.750, 0.333, 0.667]],
  "volume_a3_per_cell": 912,
  "magmom_total_mub_per_fu": 5.56,
  "spacegroup": "P6_3/mmc, No. 194",
  "formation_enthalpy_0k_ev_per_fu": 2.5,
  "energy_ev_per_atom": -6.33
}

---

{
  "formula": "Tb3Y2Pu",
  "functional": "PBE",
  "state": "optimized geometry",
  "lattice": [[-0.490, -4.512, 10.541], [6.279, -0.769, 6.210], [2.038, 3.551, 7.863]],
  "species": ["Tb", "Tb", "Tb", "Tb", "Tb", "Tb", "Y", "Y", "Y", "Y", "Pu", "Pu"],
  "fractional_positions": [[0.500, 0.250, 0.750], [0.500, 0.750, 0.250], [0.232, 0.018, 0.518], [0.768, 0.482, 0.982], [0.768, 0.982, 0.482], [0.232, 0.518, 0.018], [0.847, 0.400, 0.400], [0.646, 0.100, 0.100], [0.354, 0.900, 0.900], [0.153, 0.600, 0.600], [0.000, 0.500, 0.500], [0.000, 0.000, 0.000]],
  "volume_a3_per_cell": 431,
  "magmom_total_mub_per_fu": 5.87,
  "spacegroup": "Ibam, No. 72",
  "formation_enthalpy_0k_ev_per_fu": 3.6,
  "energy_ev_per_atom": -6.26
}

---

{
  "formula": "Tb3Y6Pu",
  "functional": "PBE",
  "state": "optimized geometry",
  "lattice": [[5.486, -0.001, -0.607], [-0.002, 10.022, -0.001], [-1.571, -0.001, 12.130]],
  "species": ["Tb", "Tb", "Tb", "Tb", "Tb", "Tb", "Y", "Y", "Y", "Y", "Y", "Y", "Y", "Y", "Y", "Y", "Y", "Y", "Pu", "Pu"],
  "fractional_positions": [[0.445, 0.169, 0.859], [0.500, 0.500, 0.000], [0.555, 0.831, 0.141], [0.945, 0.331, 0.359], [0.000, 0.000, 0.500], [0.055, 0.669, 0.641], [0.444, 0.833, 0.859], [0.500, 0.816, 0.500], [0.360, 0.498, 0.237], [0.640, 0.502, 0.763], [0.500, 0.184, 0.500], [0.556, 0.167, 0.141], [0.944, 0.667, 0.358], [0.000, 0.684, 0.001], [0.860, 0.001, 0.737], [0.140, 0.999, 0.263], [0.000, 0.316, 0.999], [0.056, 0.333, 0.642], [0.500, 0.500, 0.500], [0.000, 0.000, 0.000]],
  "volume_a3_per_cell": 657,
  "magmom_total_mub_per_fu": 5.69,
  "spacegroup": "P2_1/c, No. 14",
  "formation_enthalpy_0k_ev_per_fu": 2.4,
  "energy_ev_per_atom": -6.46
}

---

{
  "formula": "TbYPu2",
  "functional": "PBE",
  "state": "optimized geometry",
  "lattice": [[5.511, 0.000, 0.000], [2.755, 4.773, 0.000], [2.755, 1.591, 4.500]],
  "species": ["Y", "Tb", "Pu", "Pu"],
  "fractional_positions": [[0.500, 0.500, 0.500], [0.000, 0.000, 0.000], [0.250, 0.250, 0.250], [0.750, 0.750, 0.750]],
  "volume_a3_per_cell": 118,
  "magmom_total_mub_per_fu": 12.73,
  "spacegroup": "Fm-3m, No. 225",
  "relative_energy_mev_per_atom": 100,
  "formation_enthalpy_0k_ev_per_fu": 1.2,
  "energy_ev_per_atom": -9.65
}

---

{
  "formula": "Tb2YPu",
  "functional": "PBE",
  "state": "optimized geometry",
  "lattice": [[3.720, 0.000, 0.000], [0.000, 5.769, 0.000], [0.000, 0.000, 5.769]],
  "species": ["Y", "Tb", "Tb", "Pu"],
  "fractional_positions": [[0.500, 0.500, 0.500], [0.000, 0.000, 0.500], [0.000, 0.500, 0.000], [0.500, 0.000, 0.000]],
  "volume_a3_per_cell": 124,
  "magmom_total_mub_per_fu": 7.45,
  "spacegroup": "P4/mmm, No. 123",
  "relative_energy_mev_per_atom": 83,
  "formation_enthalpy_0k_ev_per_fu": 0.7,
  "energy_ev_per_atom": -7.33
}